[1]
PrTm4S5 (PBE, relaxed); formation energy (no corrections) = -19.27 eV/f.u.; calculated volume = 20.94 A^3/atom; mass density = 7.75 g cm⁻³; total magnetization = 0.00 Bohr magnetons per cell
1.0
0.222 3.267 -2.077
-3.671 -2.032 -3.588
-5.560 3.230 8.105
Tm S Pr
4 5 1
direct
0.797 0.797 0.593
0.203 0.203 0.407
0.599 0.599 0.198
0.401 0.401 0.802
0.000 0.500 0.000
0.392 0.892 0.783
0.608 0.108 0.217
0.802 0.302 0.603
0.198 0.698 0.397
0.000 0.000 0.000


[2]
PrTmS3 (PBE, relaxed); formation energy (no corrections) = -10.39 eV/f.u.; calculated volume = 23.11 A^3/atom; mass density = 5.83 g cm⁻³; total magnetization = 0.00 Bohr magnetons per cell
1.0
3.967 0.000 0.000
0.000 11.037 -0.007
0.000 4.304 21.113
Tm S Pr
8 24 8
direct
0.750 0.181 0.954
0.250 0.970 0.351
0.750 0.447 0.584
0.250 0.478 0.087
0.750 0.522 0.913
0.250 0.819 0.046
0.750 0.030 0.649
0.250 0.553 0.416
0.750 0.495 0.781
0.250 0.085 0.036
0.750 0.643 0.486
0.250 0.874 0.163
0.750 0.915 0.964
0.750 0.254 0.676
0.750 0.795 0.635
0.250 0.357 0.514
0.750 0.454 0.366
0.750 0.037 0.271
0.750 0.748 0.827
0.250 0.636 0.964
0.250 0.505 0.219
0.250 0.963 0.729
0.250 0.342 0.901
0.250 0.746 0.324
0.750 0.658 0.099
0.750 0.126 0.837
0.750 0.942 0.444
0.250 0.546 0.634
0.250 0.205 0.365
0.250 0.058 0.556
0.750 0.364 0.036
0.250 0.252 0.173
0.750 0.696 0.234
0.750 0.090 0.136
0.250 0.910 0.864
0.250 0.692 0.733
0.750 0.308 0.267
0.750 0.202 0.463
0.250 0.304 0.766
0.250 0.798 0.537